Here is an optimized crystal structure of La3Al2CrO9 from the Alexandria database. Energies are from PBE with a Hubbard U.

Its final energy is -120.98 eV for the cell shown. Its space group is No. 164. As for the magnetic moment: 3.00 Bohr magnetons per cell.

a = 5.438 Å, b = 5.438 Å, c = 6.668 Å
α = 90.00°, β = 90.00°, γ = 120.00°
Fractional positions:
La (0.000, 0.000, 0.000)
La (0.333, 0.667, 0.666)
La (0.667, 0.333, 0.334)
Al (0.333, 0.667, 0.162)
Al (0.667, 0.333, 0.838)
Cr (0.000, 0.000, 0.500)
O (0.000, 0.500, 0.000)
O (0.170, 0.341, 0.328)
O (0.170, 0.830, 0.328)
O (0.341, 0.170, 0.672)
O (0.500, 0.000, 0.000)
O (0.500, 0.500, 0.000)
O (0.659, 0.830, 0.328)
O (0.830, 0.170, 0.672)
O (0.830, 0.659, 0.672)